Entry 1:
# BaGaS2 | the Alexandria database | PBE | relaxed
data_BaGaS2
_symmetry_space_group_name_H-M 'I -4 2 d'
_symmetry_Int_Tables_number 122
_symmetry_space_group_name_Hall 'I -4 2bw'
_cell_length_a 6.281
_cell_length_b 6.281
_cell_length_c 13.319
_cell_angle_alpha 90.00
_cell_angle_beta 90.00
_cell_angle_gamma 90.00
loop_
_atom_site_label
_atom_site_type_symbol
_atom_site_fract_x
_atom_site_fract_y
_atom_site_fract_z
Ba1 Ba 0.000 0.000 0.000
Ga1 Ga 0.000 0.000 0.500
S1 S 0.170 0.250 0.625
# - E_form (uncorrected) (eV/atom) = -1.0479
# - total moment (μB/f.u.) = 0.00
# - total DFT energy (no corrections) (eV/atom) = -4.35



Entry 2:
# Ba2GaS4 | the Alexandria database | PBE | relaxed
data_Ba2GaS4
_symmetry_space_group_name_H-M 'P 1 21/c 1'
_symmetry_Int_Tables_number 14
_cell_length_a 12.876
_cell_length_b 6.280
_cell_length_c 20.218
_cell_angle_alpha 90.00
_cell_angle_beta 104.21
_cell_angle_gamma 90.00
loop_
_symmetry_equiv_pos_as_xyz
'x,y,z'
'-x,-y,-z'
'-x,y+1/2,-z+1/2'
'x,-y+1/2,z+1/2'
loop_
_atom_site_label
_atom_site_type_symbol
_atom_site_fract_x
_atom_site_fract_y
_atom_site_fract_z
Ba1 Ba 0.028 0.232 0.187
Ba2 Ba 0.117 0.237 0.463
Ba3 Ba 0.355 0.744 0.452
Ba4 Ba 0.395 0.235 0.286
Ga1 Ga 0.198 0.689 0.600
Ga2 Ga 0.383 0.184 0.599
S1 S 0.082 0.726 0.163
S2 S 0.114 0.735 0.485
S3 S 0.185 0.066 0.327
S4 S 0.186 0.098 0.826
S5 S 0.231 0.176 0.126
S6 S 0.369 0.682 0.116
S7 S 0.383 0.247 0.489
S8 S 0.462 0.735 0.324
# - E_form (uncorrected) (eV/atom) = -1.5142
# - total moment (μB/f.u.) = 0.00
# - total DFT energy (no corrections) (eV/atom) = -4.85



Entry 3:
# BaGa2S | the Alexandria database | PBE | relaxed
data_BaGa2S
_symmetry_space_group_name_H-M 'I -4 2 d'
_symmetry_Int_Tables_number 122
_symmetry_space_group_name_Hall 'I -4 2bw'
_cell_length_a 8.471
_cell_length_b 8.471
_cell_length_c 6.224
_cell_angle_alpha 90.00
_cell_angle_beta 90.00
_cell_angle_gamma 90.00
loop_
_atom_site_label
_atom_site_type_symbol
_atom_site_fract_x
_atom_site_fract_y
_atom_site_fract_z
Ba1 Ba 0.000 0.000 0.000
Ga1 Ga 0.187 0.250 0.625
S1 S 0.000 0.000 0.500
# - E_form (uncorrected) (eV/atom) = -0.4801
# - total moment (μB/f.u.) = 0.00
# - total DFT energy (no corrections) (eV/atom) = -3.51



Entry 4:
# Ba3GaS | the Alexandria database | PBE | relaxed
data_Ba3GaS
_symmetry_space_group_name_H-M 'P m -3 m'
_symmetry_Int_Tables_number 221
_symmetry_space_group_name_Hall '-P 4 2 3'
_cell_length_a 6.077
_cell_length_b 6.077
_cell_length_c 6.077
_cell_angle_alpha 90.00
_cell_angle_beta 90.00
_cell_angle_gamma 90.00
loop_
_atom_site_label
_atom_site_type_symbol
_atom_site_fract_x
_atom_site_fract_y
_atom_site_fract_z
Ba1 Ba 0.000 0.000 0.500
Ga1 Ga 0.500 0.500 0.500
S1 S 0.000 0.000 0.000
# - E_form (uncorrected) (eV/atom) = -0.7446
# - total moment (μB/f.u.) = 1.02
# - total DFT energy (no corrections) (eV/atom) = -3.33



Entry 5:
# Ba5GaS6 | the Alexandria database | PBE | relaxed
data_Ba5GaS6
_symmetry_space_group_name_H-M 'C 1 2/m 1'
_symmetry_Int_Tables_number 12
_cell_length_a 7.761
_cell_length_b 13.449
_cell_length_c 7.748
_cell_angle_alpha 90.00
_cell_angle_beta 109.44
_cell_angle_gamma 90.00
loop_
_symmetry_equiv_pos_as_xyz
'x,y,z'
'-x,-y,-z'
'-x,y,-z'
'x,-y,z'
'x+1/2,y+1/2,z'
'-x+1/2,-y+1/2,-z'
'-x+1/2,y+1/2,-z'
'x+1/2,-y+1/2,z'
loop_
_atom_site_label
_atom_site_type_symbol
_atom_site_fract_x
_atom_site_fract_y
_atom_site_fract_z
Ba1 Ba 0.000 0.000 0.000
Ba2 Ba 0.000 0.167 0.500
Ba3 Ba 0.000 0.335 0.000
Ga1 Ga 0.000 0.500 0.500
S1 S 0.237 0.500 0.260
S2 S 0.240 0.341 0.742
# - E_form (uncorrected) (eV/atom) = -1.6757
# - total moment (μB/f.u.) = 0.00
# - total DFT energy (no corrections) (eV/atom) = -4.79



Entry 6:
# Ba2GaSbS5 | the Alexandria database | PBE | relaxed
data_Ba2GaSbS5
_symmetry_space_group_name_H-M 'P n m a'
_symmetry_Int_Tables_number 62
_cell_length_a 12.346
_cell_length_b 8.929
_cell_length_c 9.186
_cell_angle_alpha 90.00
_cell_angle_beta 90.00
_cell_angle_gamma 90.00
loop_
_symmetry_equiv_pos_as_xyz
'x,y,z'
'-x,-y,-z'
'-x+1/2,-y,z+1/2'
'x+1/2,y,-z+1/2'
'x+1/2,-y+1/2,-z+1/2'
'-x+1/2,y+1/2,z+1/2'
'-x,y+1/2,-z'
'x,-y+1/2,z'
loop_
_atom_site_label
_atom_site_type_symbol
_atom_site_fract_x
_atom_site_fract_y
_atom_site_fract_z
Ba1 Ba 0.176 0.006 0.123
Ga1 Ga 0.095 0.750 0.827
Sb1 Sb 0.023 0.750 0.477
S1 S 0.008 0.250 0.974
S2 S 0.055 0.550 0.672
S3 S 0.209 0.750 0.383
S4 S 0.227 0.250 0.382
# - E_form (uncorrected) (eV/atom) = -1.2859
# - total moment (μB/f.u.) = 0.00
# - total DFT energy (no corrections) (eV/atom) = -4.80



Entry 7:
# Ba2GaSbS5 | the Alexandria database | PBE | relaxed
data_Ba2GaSbS5
_symmetry_space_group_name_H-M 'C m c 21'
_symmetry_Int_Tables_number 36
_cell_length_a 4.086
_cell_length_b 18.133
_cell_length_c 13.179
_cell_angle_alpha 90.00
_cell_angle_beta 90.00
_cell_angle_gamma 90.00
loop_
_symmetry_equiv_pos_as_xyz
'x,y,z'
'-x,-y,z+1/2'
'-x,y,z'
'x,-y,z+1/2'
'x+1/2,y+1/2,z'
'-x+1/2,-y+1/2,z+1/2'
'-x+1/2,y+1/2,z'
'x+1/2,-y+1/2,z+1/2'
loop_
_atom_site_label
_atom_site_type_symbol
_atom_site_fract_x
_atom_site_fract_y
_atom_site_fract_z
Ba1 Ba 0.000 0.116 0.000
Ba2 Ba 0.000 0.130 0.643
Ga1 Ga 0.000 0.448 0.736
Sb1 Sb 0.000 0.203 0.348
S1 S 0.000 0.023 0.325
S2 S 0.000 0.291 0.985
S3 S 0.000 0.323 0.696
S4 S 0.000 0.339 0.324
S5 S 0.000 0.495 0.083
# - E_form (uncorrected) (eV/atom) = -1.2411
# - total moment (μB/f.u.) = 0.00
# - total DFT energy (no corrections) (eV/atom) = -4.76



Entry 8:
# BaGaSi2S8 | the Alexandria database | PBE | relaxed
data_BaGaSi2S8
_symmetry_space_group_name_H-M 'P -3'
_symmetry_Int_Tables_number 147
_cell_length_a 5.7859
_cell_length_b 5.7859
_cell_length_c 9.2703
_cell_angle_alpha 90.00
_cell_angle_beta 90.00
_cell_angle_gamma 120.00
loop_
_symmetry_equiv_pos_as_xyz
'x,y,z'
'-x,-y,-z'
'-y,x-y,z'
'y,-x+y,-z'
'-x+y,-x,z'
'x-y,x,-z'
loop_
_atom_site_label
_atom_site_type_symbol
_atom_site_fract_x
_atom_site_fract_y
_atom_site_fract_z
Ba1 Ba 0.0000 0.0000 0.0000
Ga1 Ga 0.0000 0.0000 0.5000
Si1 Si 0.3333 0.6667 0.7398
S1 S 0.0257 0.6887 0.3269
S2 S 0.3333 0.6667 0.9672
# - E_form (uncorrected) (eV/atom) = -0.5564
# - total moment (μB/f.u.) = 1.24
# - total DFT energy (no corrections) (eV/atom) = -4.62



Entry 9:
# BaSmGaS4 | the Alexandria database | PBE | relaxed
data_BaSmGaS4
_symmetry_space_group_name_H-M 'P 1 21/m 1'
_symmetry_Int_Tables_number 11
_cell_length_a 6.628
_cell_length_b 6.741
_cell_length_c 8.512
_cell_angle_alpha 90.00
_cell_angle_beta 107.55
_cell_angle_gamma 90.00
loop_
_symmetry_equiv_pos_as_xyz
'x,y,z'
'-x,-y,-z'
'-x,y+1/2,-z'
'x,-y+1/2,z'
loop_
_atom_site_label
_atom_site_type_symbol
_atom_site_fract_x
_atom_site_fract_y
_atom_site_fract_z
Ba1 Ba 0.242 0.250 0.436
Sm1 Sm 0.276 0.250 0.946
Ga1 Ga 0.268 0.750 0.177
S1 S 0.057 0.750 0.915
S2 S 0.072 0.750 0.354
S3 S 0.495 0.507 0.778
# - E_form (uncorrected) (eV/atom) = -1.6123
# - total moment (μB/f.u.) = 0.00
# - total DFT energy (no corrections) (eV/atom) = -5.35



Entry 10:
# Ba2SmGaS5 | the Alexandria database | PBE | relaxed
data_Ba2SmGaS5
_symmetry_space_group_name_H-M 'C m c 21'
_symmetry_Int_Tables_number 36
_cell_length_a 4.103
_cell_length_b 18.418
_cell_length_c 13.111
_cell_angle_alpha 90.00
_cell_angle_beta 90.00
_cell_angle_gamma 90.00
loop_
_symmetry_equiv_pos_as_xyz
'x,y,z'
'-x,-y,z+1/2'
'-x,y,z'
'x,-y,z+1/2'
'x+1/2,y+1/2,z'
'-x+1/2,-y+1/2,z+1/2'
'-x+1/2,y+1/2,z'
'x+1/2,-y+1/2,z+1/2'
loop_
_atom_site_label
_atom_site_type_symbol
_atom_site_fract_x
_atom_site_fract_y
_atom_site_fract_z
Ba1 Ba 0.000 0.119 0.000
Ba2 Ba 0.000 0.127 0.645
Sm1 Sm 0.000 0.203 0.344
Ga1 Ga 0.000 0.443 0.740
S1 S 0.000 0.041 0.336
S2 S 0.000 0.297 0.985
S3 S 0.000 0.320 0.693
S4 S 0.000 0.348 0.325
S5 S 0.000 0.498 0.090
# - E_form (uncorrected) (eV/atom) = -1.7364
# - total moment (μB/f.u.) = 0.00
# - total DFT energy (no corrections) (eV/atom) = -5.32



Entry 11:
# BaGa2SnS6 | the Alexandria database | PBE | relaxed
data_BaGa2SnS6
_symmetry_space_group_name_H-M 'C 1 2/c 1'
_symmetry_Int_Tables_number 15
_cell_length_a 13.069
_cell_length_b 13.075
_cell_length_c 7.048
_cell_angle_alpha 90.00
_cell_angle_beta 113.29
_cell_angle_gamma 90.00
loop_
_symmetry_equiv_pos_as_xyz
'x,y,z'
'-x,-y,-z'
'-x,y,-z+1/2'
'x,-y,z+1/2'
'x+1/2,y+1/2,z'
'-x+1/2,-y+1/2,-z'
'-x+1/2,y+1/2,-z+1/2'
'x+1/2,-y+1/2,z+1/2'
loop_
_atom_site_label
_atom_site_type_symbol
_atom_site_fract_x
_atom_site_fract_y
_atom_site_fract_z
Ba1 Ba 0.000 0.156 0.250
Ga1 Ga 0.229 0.083 0.836
Sn1 Sn 0.000 0.317 0.750
S1 S 0.087 0.396 0.089
S2 S 0.150 0.030 0.055
S3 S 0.154 0.240 0.689
# - E_form (uncorrected) (eV/atom) = -0.8706
# - total moment (μB/f.u.) = 0.00
# - total DFT energy (no corrections) (eV/atom) = -4.55



Entry 12:
# BaGaSnS2 | the Alexandria database | PBE | relaxed
data_BaGaSnS2
_symmetry_space_group_name_H-M 'P 4/m m m'
_symmetry_Int_Tables_number 123
_symmetry_space_group_name_Hall '-P 4 2'
_cell_length_a 5.209
_cell_length_b 5.209
_cell_length_c 6.273
_cell_angle_alpha 90.00
_cell_angle_beta 90.00
_cell_angle_gamma 90.00
loop_
_atom_site_label
_atom_site_type_symbol
_atom_site_fract_x
_atom_site_fract_y
_atom_site_fract_z
Ba1 Ba 0.000 0.000 0.000
Ga1 Ga 0.500 0.500 0.000
Sn1 Sn 0.000 0.000 0.500
S1 S 0.000 0.500 0.500
# - E_form (uncorrected) (eV/atom) = 0.0715
# - total moment (μB/f.u.) = 0.00
# - total DFT energy (no corrections) (eV/atom) = -3.37



Which value of total DFT energy (no corrections) does entry 9 give?
-5.35 eV/atom